# 1
Density functional theory data (PBE) for a relaxed LiSmLuIr crystal.

The calculation puts the density of states at the Fermi level at 11.8 states/eV per cell. The value obtained for the energy of formation from the pure elements is -552 meV per atom.

The structure belongs to space group F-43m (No. 216); the cell edges are 6.956, 6.956 and 6.956 Å and the angles 90.00°, 90.00° and 90.00°. The distinct sites, in fractional coordinates, are Li at (0.000, 0.000, 0.000), Sm at (0.250, 0.250, 0.250), Lu at (0.250, 0.250, 0.750) and Ir at (0.000, 0.000, 0.500).

***

# 2
Density functional theory data (PBE) for a relaxed RbInPd3 crystal.

The calculation puts the energy above the most stable polymorph in this dataset at 0.000 eV per atom. The calculation puts the density of states at the Fermi level at 1.9 states/eV per cell. The value obtained for the energy of formation from the pure elements is 239 meV per atom.

The structure belongs to space group Pm-3m (No. 221); the cell edges are 5.140, 5.140 and 5.140 Å and the angles 90.00°, 90.00° and 90.00°. The distinct sites, in fractional coordinates, are Rb at (0.000, 0.000, 0.000), In at (0.500, 0.500, 0.500) and Pd at (0.000, 0.500, 0.500).

***

# 3
Density functional theory data (PBE) for a relaxed UGeS4 crystal.

The calculation puts the energy above the most stable polymorph in this dataset at 0.000 eV per atom. The energy relative to the elements, uncorrected is -0.781 eV/atom.

The structure belongs to space group P2/m (No. 10); the cell edges are 6.376, 3.972 and 6.678 Å and the angles 90.00°, 91.47° and 90.00°. The distinct sites, in fractional coordinates, are U at (0.000, 0.000, 0.000), Ge at (0.000, 0.500, 0.500), S at (0.209, 0.000, 0.318) and S at (0.212, 0.500, 0.850).

***

# 4
Density functional theory data (PBE) for a relaxed La2Dy2Ho5 crystal.

The calculation puts the energy above the most stable polymorph in this dataset at 0.006 eV per atom. The calculation puts the density of states at the Fermi level at 26.9 states/eV per cell. The value obtained for the energy of formation from the pure elements is 213 meV per atom.

The structure belongs to space group C2/m (No. 12); the cell edges are 21.773, 3.490 and 8.271 Å and the angles 90.00°, 100.37° and 90.00°. The distinct sites, in fractional coordinates, are La at (0.180, 0.000, 0.143), Dy at (0.046, 0.500, 0.357), Ho at (0.000, 0.000, 0.000), Ho at (0.095, 0.000, 0.732) and Ho at (0.191, 0.500, 0.535).

***

# 5
Density functional theory data (PBE) for a relaxed YCd2Ru2 crystal.

The calculation puts the density of states at the Fermi level at 10.8 states/eV per cell. The value obtained for the energy of formation from the pure elements is 145 meV per atom.

The structure belongs to space group I4/mmm (No. 139); the cell edges are 4.236, 4.236 and 11.757 Å and the angles 90.00°, 90.00° and 90.00°. The distinct sites, in fractional coordinates, are Y at (0.000, 0.000, 0.000), Cd at (0.000, 0.500, 0.250) and Ru at (0.000, 0.000, 0.402).

***

# 6
Density functional theory data (PBE) for a relaxed Ba4MgCd crystal.

The calculation puts the energy above the most stable polymorph in this dataset at 0.000 eV per atom. The calculation puts the density of states at the Fermi level at 8.1 states/eV per cell. The value obtained for the energy of formation from the pure elements is -134 meV per atom.

The structure belongs to space group P4/mmm (No. 123); the cell edges are 4.359, 4.359 and 15.243 Å and the angles 90.00°, 90.00° and 90.00°. The distinct sites, in fractional coordinates, are Ba at (0.000, 0.000, 0.131), Ba at (0.500, 0.500, 0.360), Mg at (0.000, 0.000, 0.500) and Cd at (0.500, 0.500, 0.000).

***

# 7
Density functional theory data (PBE) for a relaxed LaCrW3 crystal.

The calculation puts the density of states at the Fermi level at 7.0 states/eV per cell. The value obtained for the energy of formation from the pure elements is 1137 meV per atom.

The structure belongs to space group Pm-3m (No. 221); the cell edges are 4.673, 4.673 and 4.673 Å and the angles 90.00°, 90.00° and 90.00°. The distinct sites, in fractional coordinates, are La at (0.000, 0.000, 0.000), Cr at (0.500, 0.500, 0.500) and W at (0.000, 0.500, 0.500).

***

# 8
Density functional theory data (PBE) for a relaxed Tb2Ho2Ga4Cu crystal.

The calculation puts the density of states at the Fermi level at 14.3 states/eV per cell. The value obtained for the energy of formation from the pure elements is -346 meV per atom.

The structure belongs to space group I4/mmm (No. 139); the cell edges are 6.906, 6.906 and 8.558 Å and the angles 90.00°, 90.00° and 90.00°. The distinct sites, in fractional coordinates, are Tb at (0.000, 0.500, 0.250), Ho at (0.000, 0.000, 0.190), Ga at (0.242, 0.242, 0.500) and Cu at (0.000, 0.000, 0.500).

***

# 9
Density functional theory data (PBE) for a relaxed RhOF crystal.

The energy relative to the elements, uncorrected is -0.942 eV/atom. The calculation puts the density of states at the Fermi level at 38.6 states/eV per cell.

The structure belongs to space group Fdd2 (No. 43); the cell edges are 9.365, 9.475 and 6.504 Å and the angles 90.00°, 90.00° and 90.00°. The distinct sites, in fractional coordinates, are Rh at (0.014, 0.264, 0.000), O at (0.091, 0.164, 0.749) and F at (0.109, 0.148, 0.251).

***

# 10
Density functional theory data (PBE) for a relaxed KTl2VSe4 crystal.

The energy relative to the elements, uncorrected is -0.685 eV/atom.

The structure belongs to space group Pmn2_1 (No. 31); the cell edges are 9.048, 9.602 and 6.559 Å and the angles 90.00°, 90.00° and 90.00°. The distinct sites, in fractional coordinates, are K at (0.000, 0.105, 0.000), Tl at (0.202, 0.341, 0.536), V at (0.000, 0.790, 0.396), Se at (0.000, 0.017, 0.496), Se at (0.000, 0.777, 0.043) and Se at (0.214, 0.677, 0.498).

***

# 11
Density functional theory data (PBE) for a relaxed SmEr4Se5 crystal.

The energy relative to the elements, uncorrected is -1.712 eV/atom. The calculation puts the density of states at the Fermi level at 9.6 states/eV per cell.

The structure belongs to space group Immm (No. 71); the cell edges are 4.061, 5.736 and 20.385 Å and the angles 90.00°, 90.00° and 90.00°. The distinct sites, in fractional coordinates, are Sm at (0.000, 0.000, 0.000), Er at (0.000, 0.000, 0.202), Er at (0.000, 0.000, 0.401), Se at (0.000, 0.500, 0.000), Se at (0.000, 0.500, 0.199) and Se at (0.000, 0.500, 0.395).

***

# 12
Density functional theory data (PBE) for a relaxed MgCr3Au crystal.

The calculation puts the energy above the most stable polymorph in this dataset at 0.000 eV per atom. The calculation puts the density of states at the Fermi level at 4.8 states/eV per cell. The value obtained for the energy of formation from the pure elements is 1171 meV per atom.

The structure belongs to space group Pm-3m (No. 221); the cell edges are 5.029, 5.029 and 5.029 Å and the angles 90.00°, 90.00° and 90.00°. The distinct sites, in fractional coordinates, are Mg at (0.000, 0.000, 0.000), Cr at (0.000, 0.500, 0.500) and Au at (0.500, 0.500, 0.500).